1.
# Mg2RuPb, optimized geometry, DFT PBEsol
# * crystal system: tetragonal
# * total magnetic moment: 0.0 Bohr magnetons per cell
# * E_form: 106 meV/atom
data_Mg2RuPb
_symmetry_space_group_name_H-M 'P 4 m m'
_symmetry_Int_Tables_number 99
_cell_length_a 3.456
_cell_length_b 3.456
_cell_length_c 6.282
_cell_angle_alpha 90.00
_cell_angle_beta 90.00
_cell_angle_gamma 90.00
loop_
_symmetry_equiv_pos_as_xyz
'x,y,z'
'-y,x,z'
'-x,-y,z'
'y,-x,z'
'-x,y,z'
'y,x,z'
'x,-y,z'
'-y,-x,z'
loop_
_atom_site_label
_atom_site_type_symbol
_atom_site_fract_x
_atom_site_fract_y
_atom_site_fract_z
Mg1 Mg 0.000 0.000 0.000
Mg2 Mg 0.500 0.500 0.265
Ru1 Ru 0.500 0.500 0.796
Pb1 Pb 0.000 0.000 0.551

2.
# MgRuPb2, optimized geometry, DFT PBEsol
# * crystal system: tetragonal
# * total magnetic moment: 0.0 Bohr magnetons per cell
# * E_form: 239 meV/atom
data_MgRuPb2
_symmetry_space_group_name_H-M 'P 4/m m m'
_symmetry_Int_Tables_number 123
_symmetry_space_group_name_Hall '-P 4 2'
_cell_length_a 3.313
_cell_length_b 3.313
_cell_length_c 7.912
_cell_angle_alpha 90.00
_cell_angle_beta 90.00
_cell_angle_gamma 90.00
loop_
_atom_site_label
_atom_site_type_symbol
_atom_site_fract_x
_atom_site_fract_y
_atom_site_fract_z
Mg1 Mg 0.000 0.000 0.000
Ru1 Ru 0.000 0.000 0.500
Pb1 Pb 0.500 0.500 0.290

- What is the E_form in the first record?
  106 meV/atom